An optimized crystal structure of Pm3SmHo7, computed with PBE-GGA.

Results
- D(E_F) (states/eV per cell) = 17.07
- polymorph energy (0 for the lowest one) (meV/atom) = 0
- energy relative to the elements (eV per atom) = 0.1474
- final energy (eV per cell) = -49.4

a = 6.956 Å, b = 5.530 Å, c = 10.019 Å
α = 90.00°, β = 110.24°, γ = 90.00°
Sites, in units of the cell vectors:
Pm  0.000  0.000  0.000
Pm  0.283  0.500  0.500
Pm  0.717  0.500  0.500
Sm  0.500  0.000  0.000
Ho  0.000  0.000  0.500
Ho  0.145  0.500  0.789
Ho  0.320  0.500  0.139
Ho  0.416  0.000  0.330
Ho  0.584  0.000  0.670
Ho  0.680  0.500  0.861
Ho  0.855  0.500  0.211